Record 1
First-principles (PBE) data for a relaxed CdGa15 crystal, as listed in the Alexandria database. Values from VASP.

Structure (Quantum ESPRESSO input):
```
&SYSTEM
  ibrav = 0, nat = 16, ntyp = 2
/
ATOMIC_SPECIES
Cd 112.41 Cd.upf
Ga 69.72 Ga.upf
ATOMIC_POSITIONS crystal
Cd 0.0000 0.0000 0.0000
Ga 0.0000 0.0000 0.5000
Ga 0.9969 0.4985 0.0000
Ga 0.0052 0.5026 0.5000
Ga 0.5015 0.0031 0.0000
Ga 0.4974 0.9948 0.5000
Ga 0.5015 0.4985 0.0000
Ga 0.4974 0.5026 0.5000
Ga 0.8313 0.1687 0.2551
Ga 0.8313 0.1687 0.7449
Ga 0.8313 0.6625 0.2551
Ga 0.8313 0.6625 0.7449
Ga 0.3375 0.1687 0.2551
Ga 0.3375 0.1687 0.7449
Ga 0.3333 0.6667 0.2437
Ga 0.3333 0.6667 0.7563
CELL_PARAMETERS angstrom
5.9591 0.0000 0.0000
-2.9796 5.1608 0.0000
0.0000 0.0000 10.0047
```

Calculated values
* calculated formation energy: 23 meV/atom
* symmetry: P-6m2
* spin magnetization: 0.00 μB/atom

Record 2
First-principles (PBE) data for a relaxed Al2AuC crystal, as listed in the Alexandria database. Values from VASP.

Structure (Quantum ESPRESSO input):
```
&SYSTEM
  ibrav = 0, nat = 4, ntyp = 3
/
ATOMIC_SPECIES
C 12.01 C.upf
Au 196.97 Au.upf
Al 26.98 Al.upf
ATOMIC_POSITIONS crystal
C 0.0000 0.0000 0.0000
Au 0.5000 0.5000 0.5000
Al 0.1224 0.1224 0.6327
Al 0.8776 0.8776 0.3673
CELL_PARAMETERS angstrom
4.3837 0.0000 0.0000
2.1918 3.7964 0.0000
2.1918 1.2655 5.1980
```

Calculated values
* calculated formation energy: 729 meV/atom
* symmetry: R-3m
* spin magnetization: 0.33 μB/atom

Record 3
First-principles (PBE) data for a relaxed NaTlP2S crystal, as listed in the Alexandria database. Values from VASP.

Structure (Quantum ESPRESSO input):
```
&SYSTEM
  ibrav = 0, nat = 5, ntyp = 4
/
ATOMIC_SPECIES
P 30.97 P.upf
Tl 204.38 Tl.upf
S 32.06 S.upf
Na 22.99 Na.upf
ATOMIC_POSITIONS crystal
P 0.0000 0.5000 0.0000
P 0.5000 0.0000 0.0000
Tl 0.0000 0.0000 0.0000
S 0.0000 0.0000 0.5000
Na 0.5000 0.5000 0.5000
CELL_PARAMETERS angstrom
5.2246 0.0000 0.0000
0.0000 5.2246 0.0000
0.0000 0.0000 5.3852
```

Calculated values
* relative energy among the computed polymorphs: 0.0 meV per atom
* E_form (uncorrected): 0.785 eV/atom
* symmetry: P4/mmm
* spin magnetization: 0.48 μB/atom

Record 4
First-principles (PBE) data for a relaxed PmSi2Pt crystal, as listed in the Alexandria database. Values from VASP.

Structure (Quantum ESPRESSO input):
```
&SYSTEM
  ibrav = 0, nat = 8, ntyp = 3
/
ATOMIC_SPECIES
Pm 145.00 Pm.upf
Si 28.09 Si.upf
Pt 195.08 Pt.upf
ATOMIC_POSITIONS crystal
Pm 0.3960 0.7500 0.7930
Pm 0.6040 0.2500 0.2070
Si 0.0351 0.7500 0.0702
Si 0.9649 0.2500 0.9298
Si 0.2502 0.2500 0.4999
Si 0.7498 0.7500 0.5001
Pt 0.8213 0.2500 0.6428
Pt 0.1787 0.7500 0.3572
CELL_PARAMETERS angstrom
4.1880 0.0000 -0.7834
0.0000 4.2435 0.0000
-0.5464 0.0000 8.6233
```

Calculated values
* relative energy among the computed polymorphs: 0.0 meV per atom
* E_form (uncorrected): -1.014 eV/atom
* symmetry: P2_1/m
* spin magnetization: 0.00 μB/atom

Record 5
First-principles (PBE) data for a relaxed Tm6Bi3C2 crystal, as listed in the Alexandria database. Values from VASP.

Structure (Quantum ESPRESSO input):
```
&SYSTEM
  ibrav = 0, nat = 11, ntyp = 3
/
ATOMIC_SPECIES
Tm 168.93 Tm.upf
Bi 208.98 Bi.upf
C 12.01 C.upf
ATOMIC_POSITIONS crystal
Tm 0.0855 0.5855 0.1709
Tm 0.5855 0.0855 0.1709
Tm 0.9145 0.4145 0.8291
Tm 0.4145 0.9145 0.8291
Tm 0.6895 0.6895 0.3789
Tm 0.3105 0.3105 0.6211
Bi 0.0000 0.0000 0.0000
Bi 0.8179 0.8179 0.6359
Bi 0.1821 0.1821 0.3641
C 0.3989 0.3989 0.7978
C 0.6011 0.6011 0.2022
CELL_PARAMETERS angstrom
4.7193 0.0000 0.0000
0.0000 4.7193 0.0000
-2.3596 -2.3596 12.6556
```

Calculated values
* calculated formation energy: -588 meV/atom
* symmetry: I4/mmm
* spin magnetization: 0.00 μB/atom

Record 6
First-principles (PBE) data for a relaxed Tb4Nd11Tm9 crystal, as listed in the Alexandria database. Values from VASP.

Structure (Quantum ESPRESSO input):
```
&SYSTEM
  ibrav = 0, nat = 24, ntyp = 3
/
ATOMIC_SPECIES
Tb 158.93 Tb.upf
Nd 144.24 Nd.upf
Tm 168.93 Tm.upf
ATOMIC_POSITIONS crystal
Tb 0.5000 0.5554 0.7583
Tb 0.5000 0.4446 0.2417
Tb 0.5000 0.7583 0.5554
Tb 0.5000 0.2417 0.4446
Nd 0.0000 0.5945 0.9570
Nd 0.0000 0.4055 0.0430
Nd 0.0000 0.9570 0.5945
Nd 0.0000 0.0430 0.4055
Nd 0.0000 0.6320 0.3680
Nd 0.0000 0.3680 0.6320
Nd 0.0000 0.8398 0.1602
Nd 0.0000 0.1602 0.8398
Nd 0.0000 0.0000 0.0000
Nd 0.0000 0.7084 0.7084
Nd 0.0000 0.2916 0.2916
Tm 0.5000 0.6314 0.1655
Tm 0.5000 0.3686 0.8345
Tm 0.5000 0.1655 0.6314
Tm 0.5000 0.8345 0.3686
Tm 0.5000 0.7870 0.9325
Tm 0.5000 0.2130 0.0675
Tm 0.5000 0.9325 0.7870
Tm 0.5000 0.0675 0.2130
Tm 0.5000 0.5000 0.5000
CELL_PARAMETERS angstrom
-3.3456 0.3418 -1.4507
-5.1889 -10.9711 9.3816
-1.1497 14.0834 5.9699
```

Calculated values
* calculated formation energy: 58 meV/atom
* symmetry: Cmmm
* spin magnetization: 0.00 μB/atom

Record 7
First-principles (PBE) data for a relaxed EuHg crystal, as listed in the Alexandria database. Values from VASP.

Structure (Quantum ESPRESSO input):
```
&SYSTEM
  ibrav = 0, nat = 2, ntyp = 2
/
ATOMIC_SPECIES
Eu 151.96 Eu.upf
Hg 200.59 Hg.upf
ATOMIC_POSITIONS crystal
Eu 0.5000 0.5000 0.5000
Hg 0.0000 0.0000 0.0000
CELL_PARAMETERS angstrom
4.6099 0.0000 0.0000
2.3050 3.9923 0.0000
2.3050 1.3308 3.7640
```

Calculated values
* calculated formation energy: -392 meV/atom
* symmetry: Fm-3m
* spin magnetization: 3.63 μB/atom

Record 8
First-principles (PBE) data for a relaxed Pm2Pr12Sm5 crystal, as listed in the Alexandria database. Values from VASP.

Structure (Quantum ESPRESSO input):
```
&SYSTEM
  ibrav = 0, nat = 19, ntyp = 3
/
ATOMIC_SPECIES
Pm 145.00 Pm.upf
Pr 140.91 Pr.upf
Sm 150.36 Sm.upf
ATOMIC_POSITIONS crystal
Pm 0.7614 0.0000 0.0000
Pm 0.2386 0.0000 0.0000
Pr 0.8489 0.6978 0.1177
Pr 0.0375 0.6194 0.7929
Pr 0.5819 0.6194 0.7929
Pr 0.1694 0.7887 0.3891
Pr 0.6194 0.7887 0.3891
Pr 0.4482 0.8964 0.7116
Pr 0.5518 0.1036 0.2884
Pr 0.8306 0.2113 0.6109
Pr 0.3806 0.2113 0.6109
Pr 0.9625 0.3806 0.2071
Pr 0.4181 0.3806 0.2071
Pr 0.1511 0.3022 0.8823
Sm 0.2459 0.4919 0.5151
Sm 0.3502 0.7004 0.0828
Sm 0.0000 0.0000 0.5000
Sm 0.6498 0.2996 0.9172
Sm 0.7541 0.5081 0.4849
CELL_PARAMETERS angstrom
-3.2875 -1.0863 -9.8411
7.3132 -5.0481 3.6438
-5.0202 -5.9473 2.3335
```

Calculated values
* relative energy among the computed polymorphs: 26.8 meV per atom
* calculated formation energy: 116 meV/atom
* symmetry: C2/m
* spin magnetization: 0.00 μB/atom